No. 1
PBE LuNbRu4, relaxed; total magnetization = 0.00 Bohr magnetons per cell; space group = F-43m (216); total DFT energy (no corrections) = -8.7874 eV per atom; energy of formation from the pure elements = -1.0 eV/f.u.
1.0
-4.437 -0.106 2.699
-0.140 -2.246 4.682
-0.515 2.918 4.266
Ru Nb Lu
4 1 1
Direct
0.625 0.625 0.125
0.625 0.125 0.625
0.625 0.625 0.625
0.125 0.625 0.625
0.250 0.250 0.250
0.000 0.000 0.000



No. 2
PBE LaSm2Tm2, relaxed; total magnetization = 0.00 Bohr magnetons per cell; space group = C2/c (15); total DFT energy (no corrections) = -4.3733 eV per atom; energy of formation from the pure elements = 1.4 eV/f.u.
1.0
-1.477 -4.113 -4.360
-3.131 -7.363 8.604
-2.187 7.492 -2.255
La Sm Tm
2 4 4
Direct
0.164 0.414 0.327
0.836 0.586 0.673
0.403 0.123 0.253
0.150 0.370 0.747
0.850 0.630 0.253
0.597 0.877 0.747
0.505 0.755 0.009
0.173 0.923 0.346
0.495 0.245 0.991
0.827 0.077 0.654



No. 3
PBE Sc2RhBr, relaxed; total magnetization = 0.00 Bohr magnetons per cell; formation energy (no corrections) = -89.3 kJ per mole of atoms; space group = C2/m (12); total DFT energy (no corrections) = -6.3477 eV per atom
1.0
3.783 -0.007 0.006
1.896 3.274 0.006
1.875 1.079 7.199
Br Rh Sc
1 1 2
Direct
0.250 0.250 0.250
0.750 0.750 0.750
0.019 0.019 0.944
0.481 0.481 0.556



No. 4
PBE Ba2PbCl, relaxed; total magnetization = 0.00 Bohr magnetons per cell; formation energy (no corrections) = -111.7 kJ per mole of atoms; space group = Cm (8); total DFT energy (no corrections) = -3.5081 eV per atom
1.0
7.071 0.005 -0.008
5.849 3.974 -0.008
0.008 0.003 5.733
Pb Ba Cl
1 2 1
Direct
0.263 0.263 0.125
0.992 0.992 0.119
0.736 0.736 0.624
0.508 0.508 0.632



No. 5
PBE PmHSe2, relaxed; total magnetization = 0.00 Bohr magnetons per cell; space group = P2_1/c (14); total DFT energy (no corrections) = -4.9017 eV per atom
1.0
7.661 0.000 0.000
0.000 7.682 -0.043
0.000 -3.765 7.072
Pm H Se
4 4 8
Direct
0.137 0.252 0.041
0.363 0.752 0.541
0.863 0.748 0.959
0.637 0.248 0.459
0.568 0.175 0.890
0.068 0.325 0.610
0.432 0.825 0.110
0.932 0.675 0.390
0.433 0.208 0.770
0.208 0.837 0.896
0.933 0.292 0.730
0.567 0.792 0.230
0.792 0.163 0.104
0.708 0.663 0.604
0.292 0.337 0.396
0.067 0.708 0.270



No. 6
PBE LaAl2RhAu2, relaxed; total magnetization = 0.00 Bohr magnetons per cell; space group = P4/mmm (123); total DFT energy (no corrections) = -4.9863 eV per atom; energy of formation from the pure elements = -3.6 eV/f.u.
1.0
4.757 0.000 0.000
0.000 4.757 0.000
0.000 0.000 5.649
La Al Rh Au
1 2 1 2
Direct
0.000 0.000 0.500
0.500 0.000 0.000
0.000 0.500 0.000
0.000 0.000 0.000
0.500 0.500 0.739
0.500 0.500 0.261